# 1
DFT (GGA-PBE) results for a relaxed structure of ThCdHgN.

```
data_ThCdHgN
_chemical_formula_sum 'Th2 Cd2 Hg2 N2'
_symmetry_space_group_name_H-M 'P 4/n m m'
_symmetry_Int_Tables_number 129
_cell_length_a 4.269
_cell_length_b 4.269
_cell_length_c 9.919
_cell_angle_alpha 90.00
_cell_angle_beta 90.00
_cell_angle_gamma 90.00
loop_
_symmetry_equiv_pos_as_xyz
'x,y,z'
'-x,-y,-z'
'-y+1/2,x,z'
'y+1/2,-x,-z'
'-x+1/2,-y+1/2,z'
'x+1/2,y+1/2,-z'
'y,-x+1/2,z'
'-y,x+1/2,-z'
'x+1/2,-y,-z'
'-x+1/2,y,z'
'-y,-x,-z'
'y,x,z'
'-x,y+1/2,-z'
'x,-y+1/2,z'
'y+1/2,x+1/2,-z'
'-y+1/2,-x+1/2,z'
loop_
_atom_site_label
_atom_site_fract_x
_atom_site_fract_y
_atom_site_fract_z
Th1 0.250 0.250 0.107
Cd1 0.250 0.750 0.500
Hg1 0.250 0.250 0.712
N1 0.250 0.750 0.000
```

Computed properties:
ΔE_f (raw) ... -0.84 eV/atom

=====

# 2
DFT (GGA-PBE) results for a relaxed structure of CeClO.

```
data_CeClO
_chemical_formula_sum 'Ce2 Cl2 O2'
_symmetry_space_group_name_H-M 'P 4/n m m'
_symmetry_Int_Tables_number 129
_cell_length_a 4.047
_cell_length_b 4.047
_cell_length_c 6.965
_cell_angle_alpha 90.00
_cell_angle_beta 90.00
_cell_angle_gamma 90.00
loop_
_symmetry_equiv_pos_as_xyz
'x,y,z'
'-x,-y,-z'
'-y+1/2,x,z'
'y+1/2,-x,-z'
'-x+1/2,-y+1/2,z'
'x+1/2,y+1/2,-z'
'y,-x+1/2,z'
'-y,x+1/2,-z'
'x+1/2,-y,-z'
'-x+1/2,y,z'
'-y,-x,-z'
'y,x,z'
'-x,y+1/2,-z'
'x,-y+1/2,z'
'y+1/2,x+1/2,-z'
'-y+1/2,-x+1/2,z'
loop_
_atom_site_label
_atom_site_fract_x
_atom_site_fract_y
_atom_site_fract_z
Ce1 0.250 0.250 0.175
Cl1 0.250 0.250 0.632
O1 0.250 0.750 0.000
```

Computed properties:
ΔE_f (raw) ... -2.97 eV/atom

=====

# 3
DFT (GGA-PBE) results for a relaxed structure of Rb3Ca2I5Br2.

```
data_Rb3Ca2I5Br2
_chemical_formula_sum 'Rb6 Ca4 I10 Br4'
_symmetry_space_group_name_H-M 'I 4/m m m'
_symmetry_Int_Tables_number 139
_symmetry_space_group_name_Hall '-I 4 2'
_cell_length_a 6.213
_cell_length_b 6.213
_cell_length_c 29.353
_cell_angle_alpha 90.00
_cell_angle_beta 90.00
_cell_angle_gamma 90.00
loop_
_atom_site_label
_atom_site_fract_x
_atom_site_fract_y
_atom_site_fract_z
Rb1 0.000 0.000 0.000
Rb2 0.000 0.000 0.183
Ca1 0.000 0.000 0.392
I1 0.000 0.000 0.500
I2 0.000 0.500 0.101
Br1 0.000 0.000 0.297
```

Computed properties:
ΔE_f (raw) ... -1.61 eV/atom

=====

# 4
DFT (GGA-PBE) results for a relaxed structure of CeSc2Al.

```
data_CeSc2Al
_chemical_formula_sum 'Ce1 Sc2 Al1'
_symmetry_space_group_name_H-M 'P 4/m m m'
_symmetry_Int_Tables_number 123
_symmetry_space_group_name_Hall '-P 4 2'
_cell_length_a 4.585
_cell_length_b 4.585
_cell_length_c 4.423
_cell_angle_alpha 90.00
_cell_angle_beta 90.00
_cell_angle_gamma 90.00
loop_
_atom_site_label
_atom_site_fract_x
_atom_site_fract_y
_atom_site_fract_z
Ce1 0.000 0.000 0.000
Sc1 0.000 0.500 0.500
Al1 0.500 0.500 0.000
```

Computed properties:
Energy above the lowest structure with this stoichiometry ... 44 meV/atom
Formation enthalpy at 0 K ... -0.16 eV/atom

=====

# 5
DFT (GGA-PBE) results for a relaxed structure of Ce2ThO.

```
data_Ce2ThO
_chemical_formula_sum 'Ce2 Th1 O1'
_symmetry_space_group_name_H-M 'P 6/m m m'
_symmetry_Int_Tables_number 191
_symmetry_space_group_name_Hall '-P 6 2'
_cell_length_a 4.9526
_cell_length_b 4.9526
_cell_length_c 4.6237
_cell_angle_alpha 90.00
_cell_angle_beta 90.00
_cell_angle_gamma 120.00
loop_
_atom_site_label
_atom_site_fract_x
_atom_site_fract_y
_atom_site_fract_z
Ce1 0.3333 0.6667 0.0000
Th1 0.0000 0.0000 0.5000
O1 0.0000 0.0000 0.0000
```

Computed properties:
ΔE_f (raw) ... -0.83 eV/atom
Energy above the lowest structure with this stoichiometry ... 279 meV/atom

=====

# 6
DFT (GGA-PBE) results for a relaxed structure of Li2AgAu.

```
data_Li2AgAu
_chemical_formula_sum 'Li8 Ag4 Au4'
_symmetry_space_group_name_H-M 'C 1 2/m 1'
_symmetry_Int_Tables_number 12
_cell_length_a 9.025
_cell_length_b 6.173
_cell_length_c 4.480
_cell_angle_alpha 90.00
_cell_angle_beta 90.10
_cell_angle_gamma 90.00
loop_
_symmetry_equiv_pos_as_xyz
'x,y,z'
'-x,-y,-z'
'-x,y,-z'
'x,-y,z'
'x+1/2,y+1/2,z'
'-x+1/2,-y+1/2,-z'
'-x+1/2,y+1/2,-z'
'x+1/2,-y+1/2,z'
loop_
_atom_site_label
_atom_site_fract_x
_atom_site_fract_y
_atom_site_fract_z
Li1 0.122 0.242 0.248
Ag1 0.123 0.500 0.748
Au1 0.132 0.000 0.749
```

Computed properties:
Energy above the lowest structure with this stoichiometry ... 1 meV/atom
Formation enthalpy at 0 K ... -0.39 eV/atom

=====

# 7
DFT (GGA-PBE) results for a relaxed structure of Cu6PtRh.

```
data_Cu6PtRh
_chemical_formula_sum 'Cu12 Pt2 Rh2'
_symmetry_space_group_name_H-M 'A m m 2'
_symmetry_Int_Tables_number 38
_cell_length_a 3.750
_cell_length_b 7.271
_cell_length_c 7.524
_cell_angle_alpha 90.00
_cell_angle_beta 90.00
_cell_angle_gamma 90.00
loop_
_symmetry_equiv_pos_as_xyz
'x,y,z'
'-x,-y,z'
'-x,y,z'
'x,-y,z'
'x,y+1/2,z+1/2'
'-x,-y+1/2,z+1/2'
'-x,y+1/2,z+1/2'
'x,-y+1/2,z+1/2'
loop_
_atom_site_label
_atom_site_fract_x
_atom_site_fract_y
_atom_site_fract_z
Cu1 0.000 0.000 0.000
Cu2 0.000 0.246 0.758
Cu3 0.500 0.000 0.760
Cu4 0.500 0.248 0.004
Pt1 0.500 0.000 0.250
Rh1 0.000 0.000 0.512
```

Computed properties:
Energy above the lowest structure with this stoichiometry ... 19 meV/atom
Formation enthalpy at 0 K ... -0.03 eV/atom

=====

# 8
DFT (GGA-PBE) results for a relaxed structure of ScV2Au2.

```
data_ScV2Au2
_chemical_formula_sum 'Sc2 V4 Au4'
_symmetry_space_group_name_H-M 'P 4/m b m'
_symmetry_Int_Tables_number 127
_symmetry_space_group_name_Hall '-P 4 2ab'
_cell_length_a 7.519
_cell_length_b 7.519
_cell_length_c 3.114
_cell_angle_alpha 90.00
_cell_angle_beta 90.00
_cell_angle_gamma 90.00
loop_
_atom_site_label
_atom_site_fract_x
_atom_site_fract_y
_atom_site_fract_z
Sc1 0.000 0.000 0.000
V1 0.089 0.411 0.000
Au1 0.203 0.703 0.500
```

Computed properties:
Formation enthalpy at 0 K ... -0.04 eV/atom

=====

# 9
DFT (GGA-PBE) results for a relaxed structure of MnFeCo2C.

```
data_MnFeCo2C
_chemical_formula_sum 'Mn1 Fe1 Co2 C1'
_symmetry_space_group_name_H-M 'P 4/m m m'
_symmetry_Int_Tables_number 123
_symmetry_space_group_name_Hall '-P 4 2'
_cell_length_a 3.735
_cell_length_b 3.735
_cell_length_c 3.763
_cell_angle_alpha 90.00
_cell_angle_beta 90.00
_cell_angle_gamma 90.00
loop_
_atom_site_label
_atom_site_fract_x
_atom_site_fract_y
_atom_site_fract_z
Mn1 0.000 0.000 0.000
Fe1 0.500 0.500 0.000
Co1 0.000 0.500 0.500
C1 0.500 0.500 0.500
```

Computed properties:
Energy above the lowest structure with this stoichiometry ... 0 meV/atom
Formation enthalpy at 0 K ... 0.09 eV/atom

=====

# 10
DFT (GGA-PBE) results for a relaxed structure of MgNbV4.

```
data_MgNbV4
_chemical_formula_sum 'Mg4 Nb4 V16'
_symmetry_space_group_name_H-M 'F -4 3 m'
_symmetry_Int_Tables_number 216
_symmetry_space_group_name_Hall 'F -4 2 3'
_cell_length_a 7.204
_cell_length_b 7.204
_cell_length_c 7.204
_cell_angle_alpha 90.00
_cell_angle_beta 90.00
_cell_angle_gamma 90.00
loop_
_atom_site_label
_atom_site_fract_x
_atom_site_fract_y
_atom_site_fract_z
Mg1 0.000 0.000 0.000
Nb1 0.250 0.250 0.250
V1 0.122 0.122 0.622
```

Computed properties:
Formation enthalpy at 0 K ... 0.19 eV/atom

=====

# 11
DFT (GGA-PBE) results for a relaxed structure of ZrIr2SeN.

```
data_ZrIr2SeN
_chemical_formula_sum 'Zr1 Ir2 Se1 N1'
_symmetry_space_group_name_H-M 'P 4/m m m'
_symmetry_Int_Tables_number 123
_symmetry_space_group_name_Hall '-P 4 2'
_cell_length_a 3.879
_cell_length_b 3.879
_cell_length_c 5.660
_cell_angle_alpha 90.00
_cell_angle_beta 90.00
_cell_angle_gamma 90.00
loop_
_atom_site_label
_atom_site_fract_x
_atom_site_fract_y
_atom_site_fract_z
Zr1 0.000 0.000 0.000
Ir1 0.000 0.500 0.500
Se1 0.500 0.500 0.000
N1 0.500 0.500 0.500
```

Computed properties:
ΔE_f (raw) ... 0.07 eV/atom

=====

# 12
DFT (GGA-PBE) results for a relaxed structure of GdGa2Pb.

```
data_GdGa2Pb
_chemical_formula_sum 'Gd1 Ga2 Pb1'
_symmetry_space_group_name_H-M 'P 4/m m m'
_symmetry_Int_Tables_number 123
_symmetry_space_group_name_Hall '-P 4 2'
_cell_length_a 4.575
_cell_length_b 4.575
_cell_length_c 4.406
_cell_angle_alpha 90.00
_cell_angle_beta 90.00
_cell_angle_gamma 90.00
loop_
_atom_site_label
_atom_site_fract_x
_atom_site_fract_y
_atom_site_fract_z
Gd1 0.000 0.000 0.000
Ga1 0.000 0.500 0.500
Pb1 0.500 0.500 0.000
```

Computed properties:
Energy above the lowest structure with this stoichiometry ... 0 meV/atom
Formation enthalpy at 0 K ... -0.40 eV/atom

=====

# 13
DFT (GGA-PBE) results for a relaxed structure of CoAs2W.

```
data_CoAs2W
_chemical_formula_sum 'Co1 As2 W1'
_symmetry_space_group_name_H-M 'P 1 2/m 1'
_symmetry_Int_Tables_number 10
_cell_length_a 3.168
_cell_length_b 3.137
_cell_length_c 5.998
_cell_angle_alpha 90.00
_cell_angle_beta 96.69
_cell_angle_gamma 90.00
loop_
_symmetry_equiv_pos_as_xyz
'x,y,z'
'-x,-y,-z'
'-x,y,-z'
'x,-y,z'
loop_
_atom_site_label
_atom_site_fract_x
_atom_site_fract_y
_atom_site_fract_z
Co1 0.000 0.000 0.000
As1 0.440 0.500 0.250
W1 0.000 0.000 0.500
```

Computed properties:
Formation enthalpy at 0 K ... 0.21 eV/atom

=====

# 14
DFT (GGA-PBE) results for a relaxed structure of Zr2BeAl.

```
data_Zr2BeAl
_chemical_formula_sum 'Zr8 Be4 Al4'
_symmetry_space_group_name_H-M 'I -4 2 d'
_symmetry_Int_Tables_number 122
_symmetry_space_group_name_Hall 'I -4 2bw'
_cell_length_a 7.386
_cell_length_b 7.386
_cell_length_c 5.475
_cell_angle_alpha 90.00
_cell_angle_beta 90.00
_cell_angle_gamma 90.00
loop_
_atom_site_label
_atom_site_fract_x
_atom_site_fract_y
_atom_site_fract_z
Zr1 0.230 0.250 0.125
Be1 0.000 0.000 0.000
Al1 0.000 0.000 0.500
```

Computed properties:
Energy above the lowest structure with this stoichiometry ... 411 meV/atom
Formation enthalpy at 0 K ... 0.17 eV/atom

=====

# 15
DFT (GGA-PBE) results for a relaxed structure of NaZrTa2Br.

```
data_NaZrTa2Br
_chemical_formula_sum 'Na1 Zr1 Ta2 Br1'
_symmetry_space_group_name_H-M 'P 4/m m m'
_symmetry_Int_Tables_number 123
_symmetry_space_group_name_Hall '-P 4 2'
_cell_length_a 4.928
_cell_length_b 4.928
_cell_length_c 6.472
_cell_angle_alpha 90.00
_cell_angle_beta 90.00
_cell_angle_gamma 90.00
loop_
_atom_site_label
_atom_site_fract_x
_atom_site_fract_y
_atom_site_fract_z
Na1 0.000 0.000 0.000
Zr1 0.000 0.000 0.500
Ta1 0.000 0.500 0.500
Br1 0.500 0.500 0.000
```

Computed properties:
ΔE_f (raw) ... 1.64 eV/atom

=====

# 16
DFT (GGA-PBE) results for a relaxed structure of BeNiAs2.

```
data_BeNiAs2
_chemical_formula_sum 'Be2 Ni2 As4'
_symmetry_space_group_name_H-M 'C 1 2/m 1'
_symmetry_Int_Tables_number 12
_cell_length_a 5.259
_cell_length_b 6.638
_cell_length_c 3.393
_cell_angle_alpha 90.00
_cell_angle_beta 105.10
_cell_angle_gamma 90.00
loop_
_symmetry_equiv_pos_as_xyz
'x,y,z'
'-x,-y,-z'
'-x,y,-z'
'x,-y,z'
'x+1/2,y+1/2,z'
'-x+1/2,-y+1/2,-z'
'-x+1/2,y+1/2,-z'
'x+1/2,-y+1/2,z'
loop_
_atom_site_label
_atom_site_fract_x
_atom_site_fract_y
_atom_site_fract_z
Be1 0.000 0.000 0.000
Ni1 0.000 0.500 0.000
As1 0.250 0.250 0.500
```

Computed properties:
Formation enthalpy at 0 K ... 0.23 eV/atom

=====

# 17
DFT (GGA-PBE) results for a relaxed structure of Sr3Th2PaN6.

```
data_Sr3Th2PaN6
_chemical_formula_sum 'Sr6 Th4 Pa2 N12'
_symmetry_space_group_name_H-M 'C 1 2/m 1'
_symmetry_Int_Tables_number 12
_cell_length_a 6.396
_cell_length_b 11.081
_cell_length_c 6.420
_cell_angle_alpha 90.00
_cell_angle_beta 109.39
_cell_angle_gamma 90.00
loop_
_symmetry_equiv_pos_as_xyz
'x,y,z'
'-x,-y,-z'
'-x,y,-z'
'x,-y,z'
'x+1/2,y+1/2,z'
'-x+1/2,-y+1/2,-z'
'-x+1/2,y+1/2,-z'
'x+1/2,-y+1/2,z'
loop_
_atom_site_label
_atom_site_fract_x
_atom_site_fract_y
_atom_site_fract_z
Sr1 0.000 0.000 0.000
Sr2 0.000 0.335 0.000
Th1 0.000 0.167 0.500
Pa1 0.000 0.500 0.500
N1 0.226 0.341 0.702
N2 0.249 0.500 0.298
```

Computed properties:
ΔE_f (raw) ... -1.35 eV/atom

=====

# 18
DFT (GGA-PBE) results for a relaxed structure of ScCu2Tc.

```
data_ScCu2Tc
_chemical_formula_sum 'Sc4 Cu8 Tc4'
_symmetry_space_group_name_H-M 'I -4 2 d'
_symmetry_Int_Tables_number 122
_symmetry_space_group_name_Hall 'I -4 2bw'
_cell_length_a 3.687
_cell_length_b 3.687
_cell_length_c 18.883
_cell_angle_alpha 90.00
_cell_angle_beta 90.00
_cell_angle_gamma 90.00
loop_
_atom_site_label
_atom_site_fract_x
_atom_site_fract_y
_atom_site_fract_z
Sc1 0.000 0.000 0.000
Cu1 0.231 0.250 0.625
Tc1 0.000 0.000 0.500
```

Computed properties:
Energy above the lowest structure with this stoichiometry ... 456 meV/atom
Formation enthalpy at 0 K ... 0.42 eV/atom

=====

# 19
DFT (GGA-PBE) results for a relaxed structure of Ti2NbTl.

```
data_Ti2NbTl
_chemical_formula_sum 'Ti6 Nb3 Tl3'
_symmetry_space_group_name_H-M 'R -3 m'
_symmetry_Int_Tables_number 166
_symmetry_space_group_name_Hall '-R 3 2"'
_cell_length_a 3.1223
_cell_length_b 3.1223
_cell_length_c 27.8139
_cell_angle_alpha 90.00
_cell_angle_beta 90.00
_cell_angle_gamma 120.00
loop_
_atom_site_label
_atom_site_fract_x
_atom_site_fract_y
_atom_site_fract_z
Ti1 0.0000 0.0000 0.2445
Nb1 0.0000 0.0000 0.5000
Tl1 0.0000 0.0000 0.0000
```

Computed properties:
Energy above the lowest structure with this stoichiometry ... 195 meV/atom
Formation enthalpy at 0 K ... 0.16 eV/atom

=====

# 20
DFT (GGA-PBE) results for a relaxed structure of Cs2CaCdW.

```
data_Cs2CaCdW
_chemical_formula_sum 'Cs2 Ca1 Cd1 W1'
_symmetry_space_group_name_H-M 'P 4/m m m'
_symmetry_Int_Tables_number 123
_symmetry_space_group_name_Hall '-P 4 2'
_cell_length_a 6.126
_cell_length_b 6.126
_cell_length_c 5.579
_cell_angle_alpha 90.00
_cell_angle_beta 90.00
_cell_angle_gamma 90.00
loop_
_atom_site_label
_atom_site_fract_x
_atom_site_fract_y
_atom_site_fract_z
Cs1 0.000 0.500 0.000
Ca1 0.000 0.000 0.500
Cd1 0.500 0.500 0.500
W1 0.500 0.500 0.000
```

Computed properties:
Formation enthalpy at 0 K ... 1.46 eV/atom